(1)
Density functional theory data (PBE-GGA) for a relaxed Ac2ScSi3Pt12 crystal.

Properties
Theoretical density = 13.01 g/cm³
Uncorrected formation energy = -0.60 eV/atom

CIF file:
```
data_Ac2ScSi3Pt12
_chemical_formula_sum 'Ac6 Sc3 Si9 Pt36'
_symmetry_space_group_name_H-M 'R -3 m'
_symmetry_Int_Tables_number 166
_symmetry_space_group_name_Hall '-R 3 2"'
_cell_length_a 8.3498
_cell_length_b 8.3498
_cell_length_c 18.5486
_cell_angle_alpha 90.00
_cell_angle_beta 90.00
_cell_angle_gamma 120.00
loop_
_atom_site_label
_atom_site_fract_x
_atom_site_fract_y
_atom_site_fract_z
_atom_site_occupancy
Ac1 0.0000 0.0000 0.1083 1
Sc1 0.0000 0.0000 0.5000 1
Si1 0.0000 0.5000 0.0000 1
Pt1 0.0073 0.5037 0.8736 1
Pt2 0.0368 0.5184 0.3652 1
```


(2)
Density functional theory data (PBE-GGA) for a relaxed Ac2SmSn3Pd6 crystal.

Properties
Theoretical density = 8.33 g/cm³
Energy of formation from the pure elements = -0.549 eV/atom

CIF file:
```
data_Ac2SmSn3Pd6
_chemical_formula_sum 'Ac2 Sm1 Sn3 Pd6'
_symmetry_space_group_name_H-M 'P 4/m m m'
_symmetry_Int_Tables_number 123
_symmetry_space_group_name_Hall '-P 4 2'
_cell_length_a 4.255
_cell_length_b 4.255
_cell_length_c 17.610
_cell_angle_alpha 90.00
_cell_angle_beta 90.00
_cell_angle_gamma 90.00
loop_
_atom_site_label
_atom_site_fract_x
_atom_site_fract_y
_atom_site_fract_z
_atom_site_occupancy
Ac1 0.000 0.000 0.181 1
Sm1 0.000 0.000 0.500 1
Sn1 0.500 0.500 0.000 1
Sn2 0.500 0.500 0.297 1
Pd1 0.000 0.500 0.386 1
Pd2 0.500 0.500 0.145 1
```


(3)
Density functional theory data (PBE-GGA) for a relaxed Sr2Cd2Hg crystal.

Properties
Theoretical density = 6.11 g/cm³
Energy of formation from the pure elements = -0.299 eV/atom
Relative energy among the computed polymorphs = 73 meV per atom

CIF file:
```
data_Sr2Cd2Hg
_chemical_formula_sum 'Sr4 Cd4 Hg2'
_symmetry_space_group_name_H-M 'P 4/m b m'
_symmetry_Int_Tables_number 127
_symmetry_space_group_name_Hall '-P 4 2ab'
_cell_length_a 8.334
_cell_length_b 8.334
_cell_length_c 4.698
_cell_angle_alpha 90.00
_cell_angle_beta 90.00
_cell_angle_gamma 90.00
loop_
_atom_site_label
_atom_site_fract_x
_atom_site_fract_y
_atom_site_fract_z
_atom_site_occupancy
Sr1 0.177 0.323 0.000 1
Cd1 0.124 0.624 0.500 1
Hg1 0.000 0.000 0.500 1
```


(4)
Density functional theory data (PBE-GGA) for a relaxed HoPd6Pt crystal.

Properties
Theoretical density = 9.61 g/cm³
Energy of formation from the pure elements = 0.138 eV/atom
Relative energy among the computed polymorphs = 566 meV per atom

CIF file:
```
data_HoPd6Pt
_chemical_formula_sum 'Ho3 Pd18 Pt3'
_symmetry_space_group_name_H-M 'R -3 m'
_symmetry_Int_Tables_number 166
_symmetry_space_group_name_Hall '-R 3 2"'
_cell_length_a 5.2283
_cell_length_b 5.2283
_cell_length_c 21.8763
_cell_angle_alpha 90.00
_cell_angle_beta 90.00
_cell_angle_gamma 120.00
loop_
_atom_site_label
_atom_site_fract_x
_atom_site_fract_y
_atom_site_fract_z
_atom_site_occupancy
Ho1 0.0000 0.0000 0.0000 1
Pd1 0.0030 0.5015 0.4387 1
Pt1 0.0000 0.0000 0.5000 1
```


(5)
Density functional theory data (PBE-GGA) for a relaxed U4Tc3Sb8 crystal.

Properties
Theoretical density = 10.31 g/cm³
Uncorrected formation energy = -0.20 eV/atom

CIF file:
```
data_U4Tc3Sb8
_chemical_formula_sum 'U4 Tc3 Sb8'
_symmetry_space_group_name_H-M 'P -4 m 2'
_symmetry_Int_Tables_number 115
_cell_length_a 4.445
_cell_length_b 4.445
_cell_length_c 18.110
_cell_angle_alpha 90.00
_cell_angle_beta 90.00
_cell_angle_gamma 90.00
loop_
_symmetry_equiv_pos_as_xyz
'x,y,z'
'y,-x,-z'
'-x,-y,z'
'-y,x,-z'
'-x,y,z'
'-y,-x,-z'
'x,-y,z'
'y,x,-z'
loop_
_atom_site_label
_atom_site_fract_x
_atom_site_fract_y
_atom_site_fract_z
_atom_site_occupancy
U1 0.000 0.500 0.111 1
U2 0.000 0.500 0.613 1
Tc1 0.000 0.000 0.000 1
Tc2 0.000 0.000 0.500 1
Tc3 0.500 0.500 0.500 1
Sb1 0.000 0.000 0.247 1
Sb2 0.000 0.500 0.413 1
Sb3 0.000 0.500 0.922 1
Sb4 0.500 0.500 0.247 1
```


(6)
Density functional theory data (PBE-GGA) for a relaxed TiNb3Al crystal.

Properties
Theoretical density = 5.39 g/cm³
Energy of formation from the pure elements = 0.778 eV/atom
Relative energy among the computed polymorphs = 0 meV per atom

CIF file:
```
data_TiNb3Al
_chemical_formula_sum 'Ti3 Nb9 Al3'
_symmetry_space_group_name_H-M 'R 3 m'
_symmetry_Int_Tables_number 160
_symmetry_space_group_name_Hall 'R 3 -2"'
_cell_length_a 5.3563
_cell_length_b 5.3563
_cell_length_c 13.1598
_cell_angle_alpha 90.00
_cell_angle_beta 90.00
_cell_angle_gamma 120.00
loop_
_atom_site_label
_atom_site_fract_x
_atom_site_fract_y
_atom_site_fract_z
_atom_site_occupancy
Ti1 0.0000 0.0000 0.0000 1
Nb1 0.1674 0.3348 0.8341 1
Al1 0.0000 0.0000 0.6257 1
```


(7)
Density functional theory data (PBE-GGA) for a relaxed SBrO4 crystal.

Properties
Theoretical density = 2.98 g/cm³
Uncorrected formation energy = -0.10 eV/atom

CIF file:
```
data_SBrO4
_chemical_formula_sum 'S4 Br4 O16'
_symmetry_space_group_name_H-M 'C 1 2/c 1'
_symmetry_Int_Tables_number 15
_cell_length_a 13.305
_cell_length_b 5.582
_cell_length_c 5.490
_cell_angle_alpha 90.00
_cell_angle_beta 105.97
_cell_angle_gamma 90.00
loop_
_symmetry_equiv_pos_as_xyz
'x,y,z'
'-x,-y,-z'
'-x,y,-z+1/2'
'x,-y,z+1/2'
'x+1/2,y+1/2,z'
'-x+1/2,-y+1/2,-z'
'-x+1/2,y+1/2,-z+1/2'
'x+1/2,-y+1/2,z+1/2'
loop_
_atom_site_label
_atom_site_fract_x
_atom_site_fract_y
_atom_site_fract_z
_atom_site_occupancy
S1 0.250 0.250 0.000 1
Br1 0.000 0.205 0.750 1
O1 0.142 0.128 0.011 1
O2 0.198 0.394 0.764 1
```


(8)
Density functional theory data (PBE-GGA) for a relaxed SnBi2Au2 crystal.

Properties
Theoretical density = 11.16 g/cm³
Energy of formation from the pure elements = 0.117 eV/atom
Relative energy among the computed polymorphs = 153 meV per atom

CIF file:
```
data_SnBi2Au2
_chemical_formula_sum 'Sn2 Bi4 Au4'
_symmetry_space_group_name_H-M 'I 4/m m m'
_symmetry_Int_Tables_number 139
_symmetry_space_group_name_Hall '-I 4 2'
_cell_length_a 4.595
_cell_length_b 4.595
_cell_length_c 13.115
_cell_angle_alpha 90.00
_cell_angle_beta 90.00
_cell_angle_gamma 90.00
loop_
_atom_site_label
_atom_site_fract_x
_atom_site_fract_y
_atom_site_fract_z
_atom_site_occupancy
Sn1 0.000 0.000 0.000 1
Bi1 0.000 0.500 0.250 1
Au1 0.000 0.000 0.399 1
```


(9)
Density functional theory data (PBE-GGA) for a relaxed Dy7Ho3Er2 crystal.

Properties
Theoretical density = 8.69 g/cm³
Energy of formation from the pure elements = 0.113 eV/atom
Relative energy among the computed polymorphs = 0 meV per atom

CIF file:
```
data_Dy7Ho3Er2
_chemical_formula_sum 'Dy14 Ho6 Er4'
_symmetry_space_group_name_H-M 'C m m m'
_symmetry_Int_Tables_number 65
_symmetry_space_group_name_Hall '-C 2 2'
_cell_length_a 5.645
_cell_length_b 37.374
_cell_length_c 3.562
_cell_angle_alpha 90.00
_cell_angle_beta 90.00
_cell_angle_gamma 90.00
loop_
_atom_site_label
_atom_site_fract_x
_atom_site_fract_y
_atom_site_fract_z
_atom_site_occupancy
Dy1 0.000 0.000 0.000 1
Dy2 0.000 0.072 0.500 1
Dy3 0.000 0.231 0.000 1
Dy4 0.000 0.408 0.000 1
Ho1 0.000 0.315 0.500 1
Ho2 0.000 0.500 0.500 1
Er1 0.000 0.148 0.000 1
```


(10)
Density functional theory data (PBE-GGA) for a relaxed Er12ZnPd6 crystal.

Properties
Theoretical density = 8.60 g/cm³
Energy of formation from the pure elements = -0.459 eV/atom

CIF file:
```
data_Er12ZnPd6
_chemical_formula_sum 'Er36 Zn3 Pd18'
_symmetry_space_group_name_H-M 'R -3'
_symmetry_Int_Tables_number 148
_symmetry_space_group_name_Hall '-R 3'
_cell_length_a 12.8909
_cell_length_b 12.8909
_cell_length_c 10.9074
_cell_angle_alpha 90.00
_cell_angle_beta 90.00
_cell_angle_gamma 120.00
loop_
_atom_site_label
_atom_site_fract_x
_atom_site_fract_y
_atom_site_fract_z
_atom_site_occupancy
Er1 0.0297 0.8193 0.3818 1
Er2 0.0398 0.8274 0.8867 1
Zn1 0.0000 0.0000 0.0000 1
Pd1 0.0426 0.7809 0.6404 1
```


(11)
Density functional theory data (PBE-GGA) for a relaxed Cu4NiP crystal.

Properties
Theoretical density = 7.53 g/cm³
Energy of formation from the pure elements = 0.285 eV/atom

CIF file:
```
data_Cu4NiP
_chemical_formula_sum 'Cu16 Ni4 P4'
_symmetry_space_group_name_H-M 'F -4 3 m'
_symmetry_Int_Tables_number 216
_symmetry_space_group_name_Hall 'F -4 2 3'
_cell_length_a 6.718
_cell_length_b 6.718
_cell_length_c 6.718
_cell_angle_alpha 90.00
_cell_angle_beta 90.00
_cell_angle_gamma 90.00
loop_
_atom_site_label
_atom_site_fract_x
_atom_site_fract_y
_atom_site_fract_z
_atom_site_occupancy
Cu1 0.125 0.125 0.125 1
Ni1 0.250 0.250 0.750 1
P1 0.000 0.000 0.500 1
```


(12)
Density functional theory data (PBE-GGA) for a relaxed Sc2Bi2Pd crystal.

Properties
Theoretical density = 8.47 g/cm³
Energy of formation from the pure elements = -0.400 eV/atom
Relative energy among the computed polymorphs = 0 meV per atom

CIF file:
```
data_Sc2Bi2Pd
_chemical_formula_sum 'Sc4 Bi4 Pd2'
_symmetry_space_group_name_H-M 'P 4/m b m'
_symmetry_Int_Tables_number 127
_symmetry_space_group_name_Hall '-P 4 2ab'
_cell_length_a 7.566
_cell_length_b 7.566
_cell_length_c 4.205
_cell_angle_alpha 90.00
_cell_angle_beta 90.00
_cell_angle_gamma 90.00
loop_
_atom_site_label
_atom_site_fract_x
_atom_site_fract_y
_atom_site_fract_z
_atom_site_occupancy
Sc1 0.153 0.347 0.000 1
Bi1 0.155 0.655 0.500 1
Pd1 0.000 0.000 0.500 1
```